Entry 1:
## KSnTe3 (PBE)

Data for an optimized crystal structure of KSnTe3.

Results
Polymorph energy (0 for the lowest one) in meV/atom: 0
N(E_F) in states/eV/cell: 2.46

Cell: 6.7950 7.1827 9.7635 Å, 90.00 110.31 90.00°
Last column: nearest neighbours and their distance in Å.
Space group P2_1 (No. 4)
One atom of each set of equivalent atoms:
K (0.1621, 0.0000, 0.3247) (multiplicity 2)  8 Te 3.66-3.96
Sn (0.4337, 0.1303, 0.8671) (multiplicity 2)  4 Te 2.79-2.84
Te (0.0599, 0.9909, 0.6686) (multiplicity 2)  1 Sn 2.79, 1 Te 3.06
Te (0.3908, 0.4911, 0.3316) (multiplicity 2)  1 Sn 2.79, 1 Te 3.06
Te (0.4176, 0.5228, 0.8347) (multiplicity 2)  2 Sn 2.83-2.84

---

Entry 2:
## K4SnTe5 (PBE)

Data for an optimized crystal structure of K4SnTe5.

Results
VASP energy in eV/atom: -2.980
N(E_F) in states/eV/cell: 32.09

Cell: 10.9500 10.9500 7.2518 Å, 90.00 90.00 90.00°
Last column: nearest neighbours and their distance in Å.
Space group I4 (No. 79)
One atom of each set of equivalent atoms:
K (0.0830, 0.7024, 0.0000) (multiplicity 8)  5 Te 3.38-3.76
Sn (0.0000, 0.0000, 0.6127) (multiplicity 2)  5 Te 2.75-2.89
Te (0.0000, 0.0000, 0.9926) (multiplicity 2)  1 Sn 2.75
Te (0.0757, 0.7594, 0.4969) (multiplicity 8)  1 Sn 2.89

---

Entry 3:
## K3SnTe3 (PBE)

Data for an optimized crystal structure of K3SnTe3.

Results
Polymorph energy (0 for the lowest one) in meV/atom: 75
N(E_F) in states/eV/cell: 6.77

Cell: 9.7425 15.0119 8.6427 Å, 90.00 100.11 90.00°
Last column: nearest neighbours and their distance in Å.
Space group C2/m (No. 12)
One atom of each set of equivalent atoms:
K (0.0000, 0.1742, 0.0000) (multiplicity 4)  6 Te 3.51-3.88
K (0.0000, 0.2369, 0.5000) (multiplicity 4)  4 Te 3.67-3.77, 2 Sn 4.04
K (0.1043, 0.5000, 0.8627) (multiplicity 4)  3 Te 3.34-3.62, 1 K 3.38
Sn (0.1787, 0.0000, 0.6351) (multiplicity 4)  4 Te 2.84-3.07
Te (0.0968, 0.0000, 0.2756) (multiplicity 4)  2 Sn 2.92-3.07
Te (0.1858, 0.3464, 0.2187) (multiplicity 8)  1 Sn 2.84

---

Entry 4:
## KSn2Te3 (PBE)

Data for an optimized crystal structure of KSn2Te3.

Results
Polymorph energy (0 for the lowest one) in meV/atom: 9
N(E_F) in states/eV/cell: 3.10

Cell: 5.0915 15.1579 12.0086 Å, 90.00 90.00 90.00°
Last column: nearest neighbours and their distance in Å.
Space group Cmcm (No. 63)
One atom of each set of equivalent atoms:
K (0.0000, 0.2388, 0.2500) (multiplicity 4)  6 Te 3.77, 2 Sn 4.22
Sn (0.0000, 0.0000, 0.0000) (multiplicity 4)  6 Te 3.22-3.32
Sn (0.0000, 0.4829, 0.7500) (multiplicity 4)  4 Te 2.84-2.92
Te (0.0000, 0.0776, 0.7500) (multiplicity 4)  4 Sn 2.92-3.22
Te (0.0000, 0.3682, 0.5626) (multiplicity 8)  1 Sn 2.84